The following is a DFT calculation (PBE) of a geometry-optimized LiLaSb2 structure.

```
LiLaSb2
1.0
0.000 3.775 3.775
3.775 0.000 3.775
3.775 3.775 0.000
Li La Sb
1 1 2
Direct
0.000 0.000 0.000 Li
0.750 0.750 0.750 La
0.250 0.250 0.250 Sb
0.500 0.500 0.500 Sb
```

Properties
SG = No. 216
crystal system = cubic
polymorph energy (0 for the lowest one) = 485 meV per atom
raw formation energy = -1.69 eV/f.u.